No. 1
Computed, not measured: a geometry-optimized Sr3CaB structure at the GGA-PBEsol level of DFT.

Lattice parameters (Å, degrees): 6.5425 6.5425 6.5425 90.00 90.00 90.00
Closest atoms and distances in Å follow each position.
Space group Pm-3m (No. 221)
Asymmetric unit:
Sr  0.0000  0.0000  0.5000 [3 per cell]  2 Ca 3.27
Ca  0.0000  0.0000  0.0000 [1 per cell]  6 Sr 3.27
B  0.5000  0.5000  0.5000 [1 per cell]  12 Sr 4.63

Values from the calculation:
Total energy ... -1.217 eV per atom
DOS at the Fermi energy ... 1.53 states/eV per atom
Energy of formation from the pure elements ... 1718 meV per atom

=====

No. 2
Computed, not measured: a geometry-optimized HfCoSn structure at the GGA-PBEsol level of DFT.

Lattice parameters (Å, degrees): 7.0178 7.0178 7.0371 90.00 90.00 120.00
Closest atoms and distances in Å follow each position.
Space group P-62c (No. 190)
Asymmetric unit:
Hf  0.0085  0.4019  0.2500 [6 per cell]  5 Co 2.67-2.90, 2 Sn 2.94
Co  0.0000  0.0000  0.2500 [2 per cell]  6 Sn 2.57, 3 Hf 2.79
Co  0.3333  0.6667  0.5349 [4 per cell]  3 Sn 2.61, 6 Hf 2.67-2.90
Sn  0.0000  0.7324  0.0000 [6 per cell]  4 Co 2.57-2.61

Values from the calculation:
Total energy ... -8.003 eV per atom
DOS at the Fermi energy ... 0.41 states/eV per atom
Energy of formation from the pure elements ... -504 meV per atom

=====

No. 3
Computed, not measured: a geometry-optimized ZrCd2Si structure at the GGA-PBEsol level of DFT.

Lattice parameters (Å, degrees): 5.5320 9.4352 2.9924 90.00 90.00 90.00
Closest atoms and distances in Å follow each position.
Space group Cmmm (No. 65)
Asymmetric unit:
Zr  0.0000  0.0000  0.0000 [2 per cell]  2 Si 2.77, 2 Zr 2.99
Cd  0.2500  0.2500  0.5000 [4 per cell]  4 Cd 2.77-2.99
Si  0.0000  0.5000  0.0000 [2 per cell]  2 Zr 2.77, 2 Si 2.99

Values from the calculation:
Total energy ... -4.343 eV per atom
Energy relative to the elements, uncorrected ... -35.2 meV/atom
DOS at the Fermi energy ... 0.51 states/eV per atom

=====

No. 4
Computed, not measured: a geometry-optimized CsRbRe3 structure at the GGA-PBEsol level of DFT.

Lattice parameters (Å, degrees): 5.0487 5.0487 5.0487 90.00 90.00 90.00
Closest atoms and distances in Å follow each position.
Space group Pm-3m (No. 221)
Asymmetric unit:
Cs  0.0000  0.0000  0.0000 [1 per cell]  6 Re 2.52
Rb  0.5000  0.5000  0.5000 [1 per cell]  12 Re 3.57
Re  0.0000  0.0000  0.5000 [3 per cell]  2 Cs 2.52

Values from the calculation:
Total energy ... -4.367 eV per atom
DOS at the Fermi energy ... 1.62 states/eV per atom
Energy of formation from the pure elements ... 4026 meV per atom